Record 1
Computed, not measured: a geometry-optimized MgBe2S structure at the GGA-PBE level of DFT.

Output
Offset from the most stable computed form in meV/atom: 0
Crystal system: tetragonal

Cell lengths 5.935, 5.935, 5.747 Å; angles 58.91, 58.91, 90.00 degrees
Atoms (fractional coordinates):
Be 0.701 0.125 0.250
Be 0.049 0.625 0.250
Be 0.375 0.299 0.750
Be 0.875 0.951 0.750
S 0.000 0.000 0.000
S 0.750 0.250 0.500
Mg 0.500 0.500 0.000
Mg 0.250 0.750 0.500

=====

Record 2
Computed, not measured: a geometry-optimized Ho2Cd5Au structure at the GGA-PBE level of DFT.

Output
Energy relative to the elements in meV/atom: -157
Crystal system: trigonal

Cell lengths 4.726, 4.726, 10.997 Å; angles 77.59, 77.59, 60.00 degrees
Atoms (fractional coordinates):
Ho 0.091 0.091 0.727
Ho 0.909 0.909 0.273
Cd 0.500 0.500 0.500
Cd 0.365 0.365 0.905
Cd 0.635 0.635 0.095
Cd 0.197 0.197 0.408
Cd 0.803 0.803 0.592
Au 0.000 0.000 0.000